(1)
First-principles (GGA-PBE) data for a relaxed structure of Ho5ErTh4, as listed in Alexandria.

```
data_Ho5ErTh4
_chemical_formula_sum 'Ho10 Er2 Th8'
_space_group_name_H-M_alt 'P 1'
_space_group_IT_number 1
_space_group_name_Hall 'P 1'
_cell_length_a 8.5419
_cell_length_b 11.6676
_cell_length_c 6.6969
_cell_angle_alpha 90.00
_cell_angle_beta 90.00
_cell_angle_gamma 90.00
loop_
_atom_site_label
_atom_site_fract_x
_atom_site_fract_y
_atom_site_fract_z
Er1 0.5426 0.5000 0.5000
Ho1 0.1845 0.2163 0.7603
Ho2 0.8155 0.7163 0.2603
Ho3 0.1845 0.7837 0.2397
Ho4 0.8155 0.7163 0.7397
Th1 0.5314 0.8539 0.5000
Ho5 0.1845 0.7837 0.7603
Th2 0.4686 0.3539 0.0000
Ho6 0.7954 0.5000 0.0000
Ho7 0.8155 0.2837 0.2603
Th3 0.1434 0.5000 0.7513
Ho8 0.8155 0.2837 0.7397
Th4 0.8566 0.0000 0.7487
Ho9 0.2046 0.0000 0.5000
Er2 0.4574 0.0000 0.0000
Th5 0.1434 0.5000 0.2487
Th6 0.4686 0.6461 0.0000
Th7 0.8566 0.0000 0.2513
Th8 0.5314 0.1461 0.5000
Ho10 0.1845 0.2163 0.2397
```

Summary:
Energy relative to the elements, kJ/mol of atoms: 38.9
Energy relative to the lowest polymorph listed for this composition, meV per atom: 186
Mass density, kg/m³: 9554

***

(2)
First-principles (GGA-PBE) data for a relaxed structure of Ho5ErTh4, as listed in Alexandria.

```
data_Ho5ErTh4
_chemical_formula_sum 'Ho5 Er1 Th4'
_space_group_name_H-M_alt 'P 1'
_space_group_IT_number 1
_space_group_name_Hall 'P 1'
_cell_length_a 3.4715
_cell_length_b 10.6035
_cell_length_c 9.1444
_cell_angle_alpha 85.18
_cell_angle_beta 101.00
_cell_angle_gamma 90.03
loop_
_atom_site_label
_atom_site_fract_x
_atom_site_fract_y
_atom_site_fract_z
Th1 0.3181 0.9160 0.6355
Er1 0.5000 0.0000 0.0000
Ho1 0.5000 0.5000 0.0000
Th2 0.9615 0.7526 0.9222
Th3 0.0385 0.2474 0.0778
Th4 0.6819 0.0840 0.3645
Ho2 0.8111 0.5949 0.6222
Ho3 0.8530 0.2388 0.7040
Ho4 0.1470 0.7612 0.2960
Ho5 0.1889 0.4051 0.3778
```

Summary:
Energy relative to the elements, kJ/mol of atoms: 20.9
Energy relative to the lowest polymorph listed for this composition, meV per atom: 0
Mass density, kg/m³: 9685

***

(3)
First-principles (GGA-PBE) data for a relaxed structure of Ho4Er3Th, as listed in Alexandria.

```
data_Ho4Er3Th
_chemical_formula_sum 'Ho8 Er6 Th2'
_space_group_name_H-M_alt 'P 1'
_space_group_IT_number 1
_space_group_name_Hall 'P 1'
_cell_length_a 6.2091
_cell_length_b 7.1914
_cell_length_c 11.2571
_cell_angle_alpha 90.00
_cell_angle_beta 90.00
_cell_angle_gamma 90.00
loop_
_atom_site_label
_atom_site_fract_x
_atom_site_fract_y
_atom_site_fract_z
Ho1 0.1475 0.8711 0.5000
Ho2 0.9869 0.1267 0.7499
Ho3 0.4869 0.8733 0.2499
Ho4 0.9869 0.1267 0.2501
Er1 0.9770 0.6224 0.2494
Ho5 0.1453 0.8743 0.0000
Er2 0.9770 0.6224 0.7506
Ho6 0.6453 0.1257 0.5000
Th1 0.6479 0.6241 0.5000
Er3 0.4770 0.3776 0.7494
Ho7 0.6475 0.1289 0.0000
Er4 0.4770 0.3776 0.2506
Er5 0.1466 0.3773 0.5000
Er6 0.6466 0.6227 0.0000
Th2 0.1479 0.3759 0.0000
Ho8 0.4869 0.8733 0.7501
```

Summary:
Energy relative to the elements, kJ/mol of atoms: 1.6
Energy relative to the lowest polymorph listed for this composition, meV per atom: 0
Mass density, kg/m³: 9207

***

(4)
First-principles (GGA-PBE) data for a relaxed structure of Ho4Er10Th, as listed in Alexandria.

```
data_Ho4Er10Th
_chemical_formula_sum 'Ho4 Er10 Th1'
_space_group_name_H-M_alt 'P 1'
_space_group_IT_number 1
_space_group_name_Hall 'P 1'
_cell_length_a 10.3000
_cell_length_b 8.5677
_cell_length_c 8.5677
_cell_angle_alpha 68.82
_cell_angle_beta 53.05
_cell_angle_gamma 53.05
loop_
_atom_site_label
_atom_site_fract_x
_atom_site_fract_y
_atom_site_fract_z
Er1 0.4501 0.6760 0.0999
Th1 0.0000 0.0000 0.0000
Ho1 0.6649 0.2635 0.4066
Er2 0.1261 0.0999 0.3240
Er3 0.4500 0.0999 0.3240
Er4 0.7740 0.6760 0.0999
Er5 0.7500 0.5000 0.5000
Ho2 0.9285 0.4066 0.7365
Ho3 0.0715 0.5934 0.2635
Er6 0.2500 0.5000 0.5000
Er7 0.2260 0.3240 0.9001
Er8 0.5500 0.9001 0.6760
Er9 0.5499 0.3240 0.9001
Ho4 0.3351 0.7365 0.5934
Er10 0.8739 0.9001 0.6760
```

Summary:
Energy relative to the elements, kJ/mol of atoms: 38.6
Mass density, kg/m³: 8818

***

(5)
First-principles (GGA-PBE) data for a relaxed structure of HoEr7Th2, as listed in Alexandria.

```
data_HoEr7Th2
_chemical_formula_sum 'Ho1 Er7 Th2'
_space_group_name_H-M_alt 'P 1'
_space_group_IT_number 1
_space_group_name_Hall 'P 1'
_cell_length_a 3.5463
_cell_length_b 11.6472
_cell_length_c 10.5792
_cell_angle_alpha 123.59
_cell_angle_beta 120.15
_cell_angle_gamma 81.25
loop_
_atom_site_label
_atom_site_fract_x
_atom_site_fract_y
_atom_site_fract_z
Er1 0.0014 0.6042 0.2022
Th1 0.5007 0.0999 0.7007
Er2 0.9965 0.8034 0.5986
Er3 0.5006 0.3010 0.1011
Er4 0.9986 0.3958 0.7978
Th2 0.4993 0.9001 0.2993
Er5 0.5000 0.5000 0.5000
Er6 0.4994 0.6990 0.8989
Ho1 0.0000 0.0000 0.0000
Er7 0.0035 0.1966 0.4014
```

Summary:
Energy relative to the elements, kJ/mol of atoms: 2.3
Energy relative to the lowest polymorph listed for this composition, meV per atom: 0
Mass density, kg/m³: 9642

***

(6)
First-principles (GGA-PBE) data for a relaxed structure of Ho4Er5Th2, as listed in Alexandria.

```
data_Ho4Er5Th2
_chemical_formula_sum 'Ho4 Er5 Th2'
_space_group_name_H-M_alt 'P 1'
_space_group_IT_number 1
_space_group_name_Hall 'P 1'
_cell_length_a 3.5137
_cell_length_b 11.1357
_cell_length_c 8.7810
_cell_angle_alpha 91.00
_cell_angle_beta 90.31
_cell_angle_gamma 89.34
loop_
_atom_site_label
_atom_site_fract_x
_atom_site_fract_y
_atom_site_fract_z
Ho1 0.7874 0.2615 0.0842
Th1 0.7513 0.3623 0.4548
Ho2 0.7488 0.7961 0.2686
Er1 0.2323 0.0866 0.3584
Er2 0.7677 0.9134 0.6416
Ho3 0.2512 0.2039 0.7314
Er3 0.5000 0.0000 0.0000
Th2 0.2487 0.6377 0.5452
Ho4 0.2126 0.7385 0.9158
Er4 0.7451 0.4786 0.8195
Er5 0.2549 0.5214 0.1805
```

Summary:
Energy relative to the elements, kJ/mol of atoms: 5.1
Energy relative to the lowest polymorph listed for this composition, meV per atom: 0
Mass density, kg/m³: 9475

***

(7)
First-principles (GGA-PBE) data for a relaxed structure of Ho8Er2Th, as listed in Alexandria.

```
data_Ho8Er2Th
_chemical_formula_sum 'Ho8 Er2 Th1'
_space_group_name_H-M_alt 'P 1'
_space_group_IT_number 1
_space_group_name_Hall 'P 1'
_cell_length_a 4.9918
_cell_length_b 7.8926
_cell_length_c 9.3394
_cell_angle_alpha 104.70
_cell_angle_beta 105.50
_cell_angle_gamma 90.00
loop_
_atom_site_label
_atom_site_fract_x
_atom_site_fract_y
_atom_site_fract_z
Er1 0.2281 0.6360 0.4563
Ho1 0.8643 0.8193 0.7286
Ho2 0.3194 0.0919 0.6387
Ho3 0.9549 0.2684 0.9099
Er2 0.7719 0.3640 0.5437
Ho4 0.5908 0.4534 0.1816
Ho5 0.4092 0.5466 0.8184
Ho6 0.0451 0.7316 0.0901
Ho7 0.6806 0.9081 0.3613
Th1 0.5000 0.0000 0.0000
Ho8 0.1357 0.1807 0.2714
```

Summary:
Energy relative to the elements, kJ/mol of atoms: 2.8
Mass density, kg/m³: 9155

***

(8)
First-principles (GGA-PBE) data for a relaxed structure of HoEr6Th2, as listed in Alexandria.

```
data_HoEr6Th2
_chemical_formula_sum 'Ho2 Er12 Th4'
_space_group_name_H-M_alt 'P 1'
_space_group_IT_number 1
_space_group_name_Hall 'P 1'
_cell_length_a 6.6833
_cell_length_b 9.4401
_cell_length_c 9.4401
_cell_angle_alpha 83.95
_cell_angle_beta 78.45
_cell_angle_gamma 78.45
loop_
_atom_site_label
_atom_site_fract_x
_atom_site_fract_y
_atom_site_fract_z
Th1 0.1290 0.6564 0.7012
Er1 0.7862 0.9776 0.7924
Er2 0.2455 0.9818 0.5567
Th2 0.3710 0.2988 0.3436
Er3 0.7545 0.0182 0.4433
Ho1 0.7500 0.8640 0.1360
Er4 0.7455 0.5567 0.9818
Ho2 0.2500 0.1360 0.8640
Er5 0.5145 0.3497 0.6464
Er6 0.2138 0.0224 0.2076
Er7 0.4855 0.6503 0.3536
Er8 0.2862 0.7924 0.9776
Er9 0.2545 0.4433 0.0182
Th3 0.6290 0.7012 0.6564
Er10 0.9855 0.3536 0.6503
Er11 0.0145 0.6464 0.3497
Er12 0.7138 0.2076 0.0224
Th4 0.8710 0.3436 0.2988
```

Summary:
Energy relative to the elements, kJ/mol of atoms: 18.1
Energy relative to the lowest polymorph listed for this composition, meV per atom: 116
Mass density, kg/m³: 9506

***

(9)
First-principles (GGA-PBE) data for a relaxed structure of Ho3Er8Th2, as listed in Alexandria.

```
data_Ho3Er8Th2
_chemical_formula_sum 'Ho3 Er8 Th2'
_space_group_name_H-M_alt 'P 1'
_space_group_IT_number 1
_space_group_name_Hall 'P 1'
_cell_length_a 5.6002
_cell_length_b 7.3181
_cell_length_c 10.9595
_cell_angle_alpha 109.47
_cell_angle_beta 90.00
_cell_angle_gamma 90.00
loop_
_atom_site_label
_atom_site_fract_x
_atom_site_fract_y
_atom_site_fract_z
Ho1 0.5000 0.0000 0.0000
Er1 0.0002 0.6651 0.3303
Er2 0.9999 0.1386 0.2773
Er3 0.0001 0.8614 0.7227
Th1 0.5003 0.7548 0.5096
Th2 0.4997 0.2452 0.4904
Er4 0.5001 0.3908 0.2188
Er5 0.9998 0.3349 0.6697
Er6 0.4999 0.6092 0.7812
Ho2 0.0000 0.2741 0.9999
Er7 0.4999 0.1717 0.7810
Ho3 0.0000 0.7259 0.0001
Er8 0.5001 0.8283 0.2190
```

Summary:
Energy relative to the elements, kJ/mol of atoms: 26.9
Energy relative to the lowest polymorph listed for this composition, meV per atom: 130
Mass density, kg/m³: 9007

***

(10)
First-principles (GGA-PBE) data for a relaxed structure of Ho2Er7Th2, as listed in Alexandria.

```
data_Ho2Er7Th2
_chemical_formula_sum 'Ho2 Er7 Th2'
_space_group_name_H-M_alt 'P 1'
_space_group_IT_number 1
_space_group_name_Hall 'P 1'
_cell_length_a 8.5355
_cell_length_b 5.9557
_cell_length_c 8.5355
_cell_angle_alpha 64.30
_cell_angle_beta 95.79
_cell_angle_gamma 115.70
loop_
_atom_site_label
_atom_site_fract_x
_atom_site_fract_y
_atom_site_fract_z
Er1 0.5917 0.3770 0.4083
Er2 0.5928 0.8203 0.9403
Ho1 0.7636 0.1135 0.2364
Er3 0.9403 0.1797 0.5928
Th1 0.7889 0.5000 0.7889
Th2 0.2111 0.5000 0.2111
Er4 0.0000 0.0000 0.0000
Ho2 0.2364 0.8865 0.7636
Er5 0.4083 0.6230 0.5917
Er6 0.0597 0.8203 0.4072
Er7 0.4072 0.1797 0.0597
```

Summary:
Energy relative to the elements, kJ/mol of atoms: 18.1
Energy relative to the lowest polymorph listed for this composition, meV per atom: 7
Mass density, kg/m³: 9315

***

(11)
First-principles (GGA-PBE) data for a relaxed structure of Ho7Er2Th2, as listed in Alexandria.

```
data_Ho7Er2Th2
_chemical_formula_sum 'Ho7 Er2 Th2'
_space_group_name_H-M_alt 'P 1'
_space_group_IT_number 1
_space_group_name_Hall 'P 1'
_cell_length_a 6.0762
_cell_length_b 7.9282
_cell_length_c 7.9282
_cell_angle_alpha 91.55
_cell_angle_beta 73.95
_cell_angle_gamma 73.95
loop_
_atom_site_label
_atom_site_fract_x
_atom_site_fract_y
_atom_site_fract_z
Th1 0.1939 0.5821 0.5821
Ho1 0.4186 0.2353 0.2353
Th2 0.8061 0.4179 0.4179
Ho2 0.1733 0.5883 0.0629
Er1 0.5000 0.7833 0.2167
Ho3 0.8267 0.4117 0.9371
Ho4 0.5814 0.7647 0.7647
Er2 0.5000 0.2167 0.7833
Ho5 0.1733 0.0629 0.5883
Ho6 0.0000 0.0000 0.0000
Ho7 0.8267 0.9371 0.4117
```

Summary:
Energy relative to the elements, kJ/mol of atoms: 17.4
Energy relative to the lowest polymorph listed for this composition, meV per atom: 35
Mass density, kg/m³: 9253

***

(12)
First-principles (GGA-PBE) data for a relaxed structure of Ho3Er7Th, as listed in Alexandria.

```
data_Ho3Er7Th
_chemical_formula_sum 'Ho6 Er14 Th2'
_space_group_name_H-M_alt 'P 1'
_space_group_IT_number 1
_space_group_name_Hall 'P 1'
_cell_length_a 9.8129
_cell_length_b 9.8129
_cell_length_c 13.0771
_cell_angle_alpha 79.18
_cell_angle_beta 79.18
_cell_angle_gamma 138.99
loop_
_atom_site_label
_atom_site_fract_x
_atom_site_fract_y
_atom_site_fract_z
Er1 0.8818 0.5588 0.5281
Th1 0.5000 0.5000 0.5000
Er2 0.9129 0.0875 0.2501
Ho1 0.0002 0.5004 0.2498
Ho2 0.5004 0.0002 0.2498
Er3 0.4412 0.1182 0.4719
Ho3 0.0000 0.0000 0.5000
Er4 0.0875 0.9129 0.2501
Ho4 0.0000 0.0000 0.0000
Er5 0.5589 0.8818 0.0279
Th2 0.5000 0.5000 0.0000
Ho5 0.9998 0.4996 0.7502
Er6 0.1182 0.4411 0.9721
Er7 0.8818 0.5589 0.0279
Er8 0.9125 0.0871 0.7499
Er9 0.5588 0.8818 0.5281
Ho6 0.4996 0.9998 0.7502
Er10 0.5000 0.5000 0.7500
Er11 0.1182 0.4412 0.4719
Er12 0.0871 0.9125 0.7499
Er13 0.4411 0.1182 0.9721
Er14 0.5000 0.5000 0.2500
```

Summary:
Energy relative to the elements, kJ/mol of atoms: 15.6
Energy relative to the lowest polymorph listed for this composition, meV per atom: 0
Mass density, kg/m³: 9036